[1]
Computed, not measured: a relaxed structure of La3Dy3Ho8 at the PBE level of DFT.

Computed properties:
ΔE_f   0.103 eV/atom
E   -4.554 eV/atom

Unit cell a=5.6828 b=10.8061 c=15.1782 alpha=90.00 beta=90.00 gamma=90.00
Space group Immm (No. 71)
Inequivalent atoms, fractional coordinates:
1 La 0.0000 0.0000 0.0000 (multiplicity 2)
2 La 0.0000 0.5000 0.3145 (multiplicity 4)
3 Dy 0.0000 0.0000 0.5000 (multiplicity 2)
4 Dy 0.0000 0.2963 0.5000 (multiplicity 4)
5 Ho 0.0000 0.1619 0.2811 (multiplicity 8)
6 Ho 0.0000 0.3413 0.1017 (multiplicity 8)

[2]
Computed, not measured: a relaxed structure of LaDy5Ho2 at the PBE level of DFT.

Computed properties:
ΔE_f   0.024 eV/atom
E   -4.613 eV/atom

Unit cell a=7.1407 b=14.2805 c=5.0299 alpha=90.00 beta=90.00 gamma=90.00
Space group Pbam (No. 55)
Inequivalent atoms, fractional coordinates:
1 La 0.0000 0.0000 0.0000 (multiplicity 2)
2 Dy 0.0000 0.5000 0.0000 (multiplicity 2)
3 Dy 0.0009 0.2522 0.0000 (multiplicity 4)
4 Dy 0.2481 0.6265 0.5000 (multiplicity 4)
5 Ho 0.2495 0.3737 0.5000 (multiplicity 4)

[3]
Computed, not measured: a relaxed structure of La3Dy5Ho4 at the PBE level of DFT.

Computed properties:
ΔE_f   0.272 eV/atom
E   -4.403 eV/atom

Unit cell a=17.8435 b=5.7537 c=8.7618 alpha=90.00 beta=116.43 gamma=90.00
Space group C2/m (No. 12)
Inequivalent atoms, fractional coordinates:
1 La 0.0000 0.0000 0.0000 (multiplicity 2)
2 La 0.1844 0.5000 0.2284 (multiplicity 4)
3 Dy 0.0000 0.5000 0.0000 (multiplicity 2)
4 Dy 0.0927 0.0000 0.4413 (multiplicity 4)
5 Dy 0.1615 0.0000 0.8898 (multiplicity 4)
6 Ho 0.0368 0.5000 0.6967 (multiplicity 4)
7 Ho 0.2086 0.5000 0.6493 (multiplicity 4)